1.
{"formula": "Sm4HoPd2", "functional": "PBE-GGA", "state": "optimized geometry", "energy_ev_per_atom": -5.10, "lattice_angstrom": [[-1.177, -4.915, 1.570], [3.453, -3.931, -0.798], [4.317, -1.368, 7.872]], "species": ["Pd", "Pd", "Sm", "Sm", "Sm", "Sm", "Ho"], "frac_coords": [[0.396, 0.396, 0.812], [0.604, 0.604, 0.188], [0.713, 0.713, 0.862], [0.882, 0.882, 0.354], [0.287, 0.287, 0.138], [0.118, 0.118, 0.646], [0.500, 0.500, 0.500]]}

***

2.
{"formula": "CdH2Se2", "functional": "PBE-GGA", "state": "optimized geometry", "energy_ev_per_atom": -2.69, "de_polymorph_ev_per_atom": 0.362, "lattice_angstrom": [[7.655, 0.000, 0.000], [0.000, 7.655, 0.000], [0.000, 0.000, 3.152]], "species": ["Se", "Se", "Se", "Se", "H", "H", "H", "H", "Cd", "Cd"], "frac_coords": [[0.699, 0.199, 0.500], [0.199, 0.301, 0.500], [0.301, 0.801, 0.500], [0.801, 0.699, 0.500], [0.871, 0.629, 0.000], [0.129, 0.371, 0.000], [0.371, 0.871, 0.000], [0.629, 0.129, 0.000], [0.000, 0.000, 0.000], [0.500, 0.500, 0.000]]}

***

3.
{"formula": "HfPa2V", "functional": "PBE-GGA", "state": "optimized geometry", "energy_ev_per_atom": -9.10, "de_polymorph_ev_per_atom": 0.148, "lattice_angstrom": [[3.065, 0.000, 0.000], [1.533, 2.655, 0.000], [1.533, 0.885, 10.791]], "species": ["Hf", "Pa", "Pa", "V"], "frac_coords": [[0.500, 0.500, 0.500], [0.079, 0.079, 0.763], [0.921, 0.921, 0.237], [0.000, 0.000, 0.000]]}

***

4.
{"formula": "TmTiGa", "functional": "PBE-GGA", "state": "optimized geometry", "energy_ev_per_atom": -5.54, "de_polymorph_ev_per_atom": 0.000, "lattice_angstrom": [[-2.682, -2.908, -0.931], [2.046, -2.632, 2.325], [-4.265, 2.005, 6.022]], "species": ["Ti", "Ti", "Ga", "Ga", "Tm", "Tm"], "frac_coords": [[0.500, 0.500, 0.500], [0.000, 0.000, 0.500], [0.500, 0.000, 0.747], [0.000, 0.500, 0.253], [0.000, 0.500, 0.843], [0.500, 0.000, 0.157]]}

***

5.
{"formula": "SbTe2IrN", "functional": "PBE-GGA", "state": "optimized geometry", "energy_ev_per_atom": -4.04, "formation_energy_uncorrected_mev_per_atom": 1475, "de_polymorph_ev_per_atom": 1.173, "lattice_angstrom": [[-4.719, 3.114, 0.105], [-3.052, -4.658, 0.980], [0.417, 0.508, 3.712]], "species": ["N", "Ir", "Te", "Te", "Sb"], "frac_coords": [[0.000, 0.000, 0.500], [0.500, 0.500, 0.500], [0.500, 0.000, 0.000], [0.000, 0.500, 0.000], [0.000, 0.000, 0.000]]}

***

6.
{"formula": "Mg3GaF", "functional": "PBE-GGA", "state": "optimized geometry", "energy_ev_per_atom": -2.35, "formation_energy_uncorrected_mev_per_atom": -416, "de_polymorph_ev_per_atom": 0.380, "lattice_angstrom": [[-1.560, 4.725, -0.714], [-4.392, -1.122, 2.172], [1.882, 1.298, 4.476]], "species": ["Mg", "Mg", "Mg", "Ga", "F"], "frac_coords": [[0.500, 0.000, 0.000], [0.000, 0.000, 0.500], [0.000, 0.500, 0.000], [0.000, 0.000, 0.000], [0.500, 0.500, 0.500]]}

***

7.
{"formula": "Tc2BO", "functional": "PBE-GGA", "state": "optimized geometry", "energy_ev_per_atom": -7.94, "formation_energy_uncorrected_mev_per_atom": 155, "de_polymorph_ev_per_atom": 0.075, "lattice_angstrom": [[0.000, 2.738, 2.738], [2.738, 0.000, 2.738], [2.738, 2.738, 0.000]], "species": ["Tc", "Tc", "O", "B"], "frac_coords": [[0.250, 0.250, 0.250], [0.750, 0.750, 0.750], [0.500, 0.500, 0.500], [0.000, 0.000, 0.000]]}

***

8.
{"formula": "LiPd7Pb4", "functional": "PBE-GGA", "state": "optimized geometry", "energy_ev_per_atom": -4.61, "lattice_angstrom": [[4.884, 0.000, 0.000], [2.442, 8.659, -0.107], [2.442, 0.280, 5.659]], "species": ["Pd", "Pd", "Pd", "Pd", "Pd", "Pd", "Pd", "Pb", "Pb", "Pb", "Pb", "Li"], "frac_coords": [[0.789, 0.910, 0.512], [0.635, 0.474, 0.257], [0.211, 0.090, 0.488], [0.923, 0.324, 0.830], [0.077, 0.676, 0.170], [0.500, 0.000, 0.000], [0.365, 0.526, 0.743], [0.260, 0.327, 0.154], [0.591, 0.222, 0.597], [0.740, 0.673, 0.846], [0.409, 0.778, 0.403], [0.000, 0.000, 0.000]]}

***

9.
{"formula": "DyHoPdPb", "functional": "PBE-GGA", "state": "optimized geometry", "energy_ev_per_atom": -5.14, "lattice_angstrom": [[-3.070, -4.185, 0.289], [2.072, -4.763, -0.211], [0.077, -2.992, 4.251]], "species": ["Pb", "Ho", "Dy", "Pd"], "frac_coords": [[0.250, 0.250, 0.250], [0.000, 0.000, 0.000], [0.500, 0.500, 0.500], [0.750, 0.750, 0.750]]}

***

10.
{"formula": "ZnCd2Ag", "functional": "PBE-GGA", "state": "optimized geometry", "energy_ev_per_atom": -1.46, "lattice_angstrom": [[5.439, 0.000, 0.000], [0.000, 6.364, 0.008], [-2.720, -1.562, 4.643]], "species": ["Ag", "Ag", "Zn", "Zn", "Cd", "Cd", "Cd", "Cd"], "frac_coords": [[0.760, 0.250, 0.000], [0.240, 0.750, 0.000], [0.735, 0.750, 0.000], [0.265, 0.250, 0.000], [0.226, 0.616, 0.454], [0.772, 0.884, 0.546], [0.774, 0.384, 0.546], [0.228, 0.116, 0.454]]}

***

11.
{"formula": "SrAc2Mg", "functional": "PBE-GGA", "state": "optimized geometry", "energy_ev_per_atom": -2.67, "de_polymorph_ev_per_atom": 0.196, "lattice_angstrom": [[3.889, 0.000, 0.000], [1.945, 3.368, 0.000], [1.945, 1.123, 13.350]], "species": ["Ac", "Ac", "Sr", "Mg"], "frac_coords": [[0.098, 0.098, 0.707], [0.902, 0.902, 0.293], [0.000, 0.000, 0.000], [0.500, 0.500, 0.500]]}

***

12.
{"formula": "Tb3Nd2Ho4", "functional": "PBE-GGA", "state": "optimized geometry", "energy_ev_per_atom": -4.54, "lattice_angstrom": [[5.800, 1.628, 1.166], [2.312, 11.019, 0.751], [2.312, 4.261, 10.189]], "species": ["Tb", "Tb", "Tb", "Tb", "Tb", "Tb", "Ho", "Ho", "Ho", "Ho", "Ho", "Ho", "Ho", "Ho", "Nd", "Nd", "Nd", "Nd"], "frac_coords": [[0.250, 0.598, 0.402], [0.750, 0.402, 0.598], [0.731, 0.738, 0.933], [0.269, 0.262, 0.067], [0.231, 0.933, 0.738], [0.769, 0.067, 0.262], [0.585, 0.422, 0.145], [0.415, 0.578, 0.855], [0.915, 0.855, 0.578], [0.576, 0.094, 0.814], [0.076, 0.814, 0.094], [0.085, 0.145, 0.422], [0.424, 0.906, 0.186], [0.924, 0.186, 0.906], [0.576, 0.767, 0.480], [0.076, 0.480, 0.767], [0.424, 0.233, 0.520], [0.924, 0.520, 0.233]]}

***

13.
{"formula": "La3SnC", "functional": "PBE-GGA", "state": "optimized geometry", "energy_ev_per_atom": -5.21, "lattice_angstrom": [[-0.637, -3.228, -2.919], [3.448, 1.425, -2.329], [5.164, -5.106, 4.520]], "species": ["La", "La", "La", "Sn", "C"], "frac_coords": [[0.500, 0.000, 0.616], [0.000, 0.500, 0.616], [0.000, 0.000, 0.941], [0.000, 0.000, 0.309], [0.500, 0.500, 0.782]]}

***

14.
{"formula": "MgBe2Hg", "functional": "PBE-GGA", "state": "optimized geometry", "energy_ev_per_atom": -1.97, "de_polymorph_ev_per_atom": 0.110, "lattice_angstrom": [[-2.770, -2.495, -1.430], [2.718, -1.632, -2.428], [0.855, -2.438, 2.597]], "species": ["Be", "Be", "Hg", "Mg"], "frac_coords": [[0.500, 0.500, 0.000], [0.000, 0.000, 0.000], [0.500, 0.000, 0.500], [0.000, 0.500, 0.500]]}

***

15.
{"formula": "ScPbBr3", "functional": "PBE-GGA", "state": "optimized geometry", "energy_ev_per_atom": -3.84, "formation_energy_uncorrected_mev_per_atom": -831, "de_polymorph_ev_per_atom": 0.000, "lattice_angstrom": [[-3.123, 1.491, -4.079], [-1.190, -5.126, -0.962], [-4.177, 0.346, 3.324]], "species": ["Br", "Br", "Br", "Sc", "Pb"], "frac_coords": [[0.000, 0.000, 0.500], [0.500, 0.000, 0.000], [0.000, 0.500, 0.000], [0.000, 0.000, 0.000], [0.500, 0.500, 0.500]]}

***

16.
{"formula": "Cu3SO6", "functional": "PBE-GGA", "state": "optimized geometry", "energy_ev_per_atom": -5.15, "formation_energy_uncorrected_mev_per_atom": -530, "de_polymorph_ev_per_atom": 0.260, "lattice_angstrom": [[5.865, 0.047, 0.049], [-0.080, 5.865, 0.049], [-0.080, -0.082, 5.865]], "species": ["Cu", "Cu", "Cu", "Cu", "Cu", "Cu", "O", "O", "O", "O", "O", "O", "O", "O", "O", "O", "O", "O", "S", "S"], "frac_coords": [[0.904, 0.757, 0.436], [0.757, 0.436, 0.904], [0.243, 0.564, 0.096], [0.436, 0.904, 0.757], [0.564, 0.096, 0.243], [0.096, 0.243, 0.564], [0.546, 0.783, 0.468], [0.045, 0.282, 0.959], [0.718, 0.041, 0.955], [0.041, 0.955, 0.718], [0.454, 0.217, 0.532], [0.282, 0.959, 0.045], [0.959, 0.045, 0.282], [0.532, 0.454, 0.217], [0.217, 0.532, 0.454], [0.955, 0.718, 0.041], [0.468, 0.546, 0.783], [0.783, 0.468, 0.546], [0.500, 0.500, 0.500], [0.000, 0.000, 0.000]]}

***

17.
{"formula": "K2AgOs", "functional": "PBE-GGA", "state": "optimized geometry", "energy_ev_per_atom": -2.61, "de_polymorph_ev_per_atom": 0.589, "lattice_angstrom": [[0.000, 3.965, 3.965], [3.965, 0.000, 3.965], [3.965, 3.965, 0.000]], "species": ["Os", "K", "K", "Ag"], "frac_coords": [[0.500, 0.500, 0.500], [0.250, 0.250, 0.250], [0.750, 0.750, 0.750], [0.000, 0.000, 0.000]]}

***

18.
{"formula": "La2As2Pb", "functional": "PBE-GGA", "state": "optimized geometry", "energy_ev_per_atom": -5.65, "de_polymorph_ev_per_atom": 0.000, "lattice_angstrom": [[8.245, 0.000, 0.000], [0.000, 8.245, 0.000], [0.000, 0.000, 4.088]], "species": ["La", "La", "La", "La", "Pb", "Pb", "As", "As", "As", "As"], "frac_coords": [[0.847, 0.347, 0.500], [0.653, 0.847, 0.500], [0.347, 0.153, 0.500], [0.153, 0.653, 0.500], [0.000, 0.000, 0.000], [0.500, 0.500, 0.000], [0.152, 0.348, 0.000], [0.348, 0.848, 0.000], [0.652, 0.152, 0.000], [0.848, 0.652, 0.000]]}

***

19.
{"formula": "Nd3Sm8Mg", "functional": "PBE-GGA", "state": "optimized geometry", "energy_ev_per_atom": -4.47, "lattice_angstrom": [[-1.479, -2.992, 1.494], [10.348, -1.693, 6.875], [4.883, 6.757, 9.438]], "species": ["Sm", "Sm", "Sm", "Sm", "Sm", "Sm", "Sm", "Sm", "Nd", "Nd", "Nd", "Mg"], "frac_coords": [[0.331, 0.751, 0.830], [0.498, 0.404, 0.498], [0.017, 0.646, 0.516], [0.490, 0.909, 0.489], [0.833, 0.008, 0.833], [0.001, 0.148, 0.501], [0.175, 0.951, 0.175], [0.651, 0.218, 0.152], [0.336, 0.260, 0.834], [0.171, 0.454, 0.171], [0.662, 0.709, 0.162], [0.835, 0.512, 0.834]]}

***

20.
{"formula": "Mg2AlZn", "functional": "PBE-GGA", "state": "optimized geometry", "energy_ev_per_atom": -1.81, "lattice_angstrom": [[7.721, 0.000, 0.000], [0.000, 7.721, 0.000], [3.860, 3.860, 2.859]], "species": ["Zn", "Zn", "Mg", "Mg", "Mg", "Mg", "Al", "Al"], "frac_coords": [[0.000, 0.000, 0.000], [0.750, 0.250, 0.500], [0.875, 0.894, 0.750], [0.106, 0.625, 0.250], [0.375, 0.356, 0.750], [0.644, 0.125, 0.250], [0.500, 0.500, 0.000], [0.250, 0.750, 0.500]]}

***

| no. | Fermi-level density of states (states/eV per cell) |
| --- | --- |
| 1 | 6.7 |
| 2 | 1.9 |
| 3 | 7.6 |
| 4 | 6.6 |
| 5 | 4.5 |
| 6 | 0.0 |
| 7 | 4.1 |
| 8 | 4.4 |
| 9 | 2.1 |
| 10 | 2.6 |
| 11 | 6.6 |
| 12 | 24.7 |
| 13 | 4.7 |
| 14 | 0.7 |
| 15 | 4.5 |
| 16 | 12.3 |
| 17 | 5.7 |
| 18 | 4.6 |
| 19 | 15.5 |
| 20 | 3.2 |